A plane-wave DFT calculation with PBE was carried out for a relaxed structure of NiIr2I.

Values from the calculation:
Distance to the lowest polymorph of the same formula (meV per atom): 159
Total magnetization (μB per cell): 0.691
Electronic total energy (eV/cell): -21.22
Space-group type: Fm-3m

abc: 4.479 4.479 4.479
angles: 60.00 60.00 60.00
Each line ends with the local moment (μB).
Element x y z (fractional)
1 I 0.500 0.500 0.500  0.02
2 Ni 0.000 0.000 0.000  0.03
3 Ir 0.250 0.250 0.250  0.32
4 Ir 0.750 0.750 0.750  0.32

***

A plane-wave DFT calculation with PBE was carried out for a relaxed structure of Zn5AgPd4.

Values from the calculation:
Total magnetization (μB per cell): 0.000
Electronic total energy (eV/cell): -34.45
Space-group type: P4/mmm

abc: 3.065 3.065 15.750
angles: 90.00 90.00 90.00
Element x y z (fractional)
1 Zn 0.500 0.500 0.111
2 Zn 0.500 0.500 0.306
3 Zn 0.500 0.500 0.500
4 Zn 0.500 0.500 0.694
5 Zn 0.500 0.500 0.889
6 Ag 0.000 0.000 0.000
7 Pd 0.000 0.000 0.208
8 Pd 0.000 0.000 0.403
9 Pd 0.000 0.000 0.597
10 Pd 0.000 0.000 0.792

***

A plane-wave DFT calculation with PBE was carried out for a relaxed structure of Cr2OsCl.

Values from the calculation:
Distance to the lowest polymorph of the same formula (meV per atom): 170
Total magnetization (μB per cell): 0.001
Electronic total energy (eV/cell): -30.97
Space-group type: R-3m

abc: 8.130 8.130 8.130
angles: 19.54 19.54 19.54
Element x y z (fractional)
1 Cr 0.003 0.003 0.003
2 Cr 0.497 0.497 0.497
3 Os 0.250 0.250 0.250
4 Cl 0.750 0.750 0.750

***

A plane-wave DFT calculation with PBE was carried out for a relaxed structure of LiTiMnNi2.

Values from the calculation:
Total magnetization (μB per cell): 0.000
Electronic total energy (eV/cell): -26.26
Space-group type: P4/mmm

abc: 4.214 4.214 4.107
angles: 90.00 90.00 90.00
Element x y z (fractional)
1 Ni 0.000 0.500 0.000
2 Ni 0.500 0.000 0.000
3 Mn 0.000 0.000 0.000
4 Li 0.000 0.000 0.500
5 Ti 0.500 0.500 0.500

***

electronic total energy of number 3 (Cr2OsCl)?
-30.97 eV/cell

***

The highest electronic total energy belongs to which entry?
NiIr2I

***

Which value of total magnetization does entry 3 give?
0.001 μB per cell

***

Repeat the second record exactly.
A plane-wave DFT calculation with PBE was carried out for a relaxed structure of Zn5AgPd4.

Values from the calculation:
Total magnetization (μB per cell): 0.000
Electronic total energy (eV/cell): -34.45
Space-group type: P4/mmm

abc: 3.065 3.065 15.750
angles: 90.00 90.00 90.00
Element x y z (fractional)
1 Zn 0.500 0.500 0.111
2 Zn 0.500 0.500 0.306
3 Zn 0.500 0.500 0.500
4 Zn 0.500 0.500 0.694
5 Zn 0.500 0.500 0.889
6 Ag 0.000 0.000 0.000
7 Pd 0.000 0.000 0.208
8 Pd 0.000 0.000 0.403
9 Pd 0.000 0.000 0.597
10 Pd 0.000 0.000 0.792